Run i
Crystalline PrErAgHg at its relaxed geometry. Source: Alexandria, functional PBE.

Results
* volume: 26.2 A^3/atom
* D(E_F): 12.8 states/eV/cell

Unit cell a=7.4800 b=7.4800 c=7.4800 alpha=90.00 beta=90.00 gamma=90.00
Space group F-43m (No. 216)
One atom of each set of equivalent atoms:
Pr1 0.0000 0.0000 0.0000 (multiplicity 4)
Er1 0.0000 0.0000 0.5000 (multiplicity 4)
Ag1 0.2500 0.2500 0.7500 (multiplicity 4)
Hg1 0.2500 0.2500 0.2500 (multiplicity 4)

Run ii
Crystalline PrErAgHg at its relaxed geometry. Source: Alexandria, functional PBE.

Results
* volume: 26.0 A^3/atom
* D(E_F): 4.0 states/eV/cell

Unit cell a=3.7035 b=3.7035 c=7.5887 alpha=90.00 beta=90.00 gamma=90.00
Space group P4mm (No. 99)
One atom of each set of equivalent atoms:
Pr1 0.0000 0.0000 0.0000 (multiplicity 1)
Er1 0.0000 0.0000 0.5112 (multiplicity 1)
Ag1 0.5000 0.5000 0.7275 (multiplicity 1)
Hg1 0.5000 0.5000 0.2758 (multiplicity 1)

Relative to the most stable structure, the computed energies are run i 0.010; run ii 0.000, all in eV/atom.

Run i
Crystalline HoErAg4 at its relaxed geometry. Source: Alexandria, functional PBE.

Results
* volume: 21.3 A^3/atom
* D(E_F): 5.5 states/eV/cell

Unit cell a=5.2658 b=9.2269 c=5.2625 alpha=90.00 beta=91.66 gamma=90.00
Space group C2/m (No. 12)
One atom of each set of equivalent atoms:
Ho1 0.0000 0.0000 0.0000 (multiplicity 2)
Er1 0.0000 0.5000 0.5000 (multiplicity 2)
Ag1 0.0000 0.1693 0.5000 (multiplicity 4)
Ag2 0.0000 0.3313 0.0000 (multiplicity 4)

Run ii
Crystalline HoErAg4 at its relaxed geometry. Source: Alexandria, functional PBE.

Results
* volume: 21.6 A^3/atom
* D(E_F): 26.5 states/eV/cell

Unit cell a=8.0361 b=8.0361 c=8.0361 alpha=90.00 beta=90.00 gamma=90.00
Space group F-43m (No. 216)
One atom of each set of equivalent atoms:
Ho1 0.0000 0.0000 0.0000 (multiplicity 4)
Er1 0.2500 0.2500 0.2500 (multiplicity 4)
Ag1 0.1250 0.1250 0.6250 (multiplicity 16)

Relative to the most stable structure, the computed energies are run i 0.000; run ii 0.148, all in eV/atom.

Run i
Crystalline HoEr2Ag at its relaxed geometry. Source: Alexandria, functional PBE.

Results
* volume: 28.2 A^3/atom
* D(E_F): 17.3 states/eV/cell

Unit cell a=4.7759 b=11.3228 c=8.3388 alpha=90.00 beta=90.00 gamma=90.00
Space group Cmcm (No. 63)
One atom of each set of equivalent atoms:
Ho1 0.0000 0.0522 0.2500 (multiplicity 4)
Er1 0.0000 0.3565 0.0463 (multiplicity 8)
Ag1 0.0000 0.2234 0.7500 (multiplicity 4)

Run ii
Crystalline HoEr2Ag at its relaxed geometry. Source: Alexandria, functional PBE.

Results
* volume: 26.8 A^3/atom
* D(E_F): 4.8 states/eV/cell

Unit cell a=5.3560 b=5.3560 c=3.7341 alpha=90.00 beta=90.00 gamma=90.00
Space group P4/mmm (No. 123)
One atom of each set of equivalent atoms:
Ho1 0.0000 0.0000 0.0000 (multiplicity 1)
Er1 0.0000 0.5000 0.5000 (multiplicity 2)
Ag1 0.5000 0.5000 0.0000 (multiplicity 1)

Run iii
Crystalline HoEr2Ag at its relaxed geometry. Source: Alexandria, functional PBE.

Results
* volume: 28.5 A^3/atom
* D(E_F): 20.3 states/eV/cell

Unit cell a=3.3763 b=3.3763 c=34.6877 alpha=90.00 beta=90.00 gamma=120.00
Space group R-3m (No. 166, hexagonal axes)
One atom of each set of equivalent atoms:
Ho1 0.0000 0.0000 0.0000 (multiplicity 3)
Er1 0.0000 0.0000 0.0970 (multiplicity 6)
Ag1 0.0000 0.0000 0.5000 (multiplicity 3)

Run iv
Crystalline HoEr2Ag at its relaxed geometry. Source: Alexandria, functional PBE.

Results
* volume: 27.4 A^3/atom
* D(E_F): 4.5 states/eV/cell

Unit cell a=3.5271 b=3.5271 c=8.8017 alpha=90.00 beta=90.00 gamma=90.00
Space group P4/mmm (No. 123)
One atom of each set of equivalent atoms:
Ho1 0.0000 0.0000 0.0000 (multiplicity 1)
Er1 0.5000 0.5000 0.2845 (multiplicity 2)
Ag1 0.0000 0.0000 0.5000 (multiplicity 1)

Relative to the most stable structure, the computed energies are run i 0.061; run ii 0.143; run iii 0.348; run iv 0.000, all in eV/atom.

Run i
Crystalline Ho2Er2Ag at its relaxed geometry. Source: Alexandria, functional PBE.

Results
* volume: 28.1 A^3/atom
* D(E_F): 11.3 states/eV/cell

Unit cell a=3.5142 b=3.5142 c=22.7149 alpha=90.00 beta=90.00 gamma=90.00
Space group I4/mmm (No. 139)
One atom of each set of equivalent atoms:
Ho1 0.0000 0.0000 0.1955 (multiplicity 4)
Er1 0.0000 0.0000 0.4163 (multiplicity 4)
Ag1 0.0000 0.0000 0.0000 (multiplicity 2)

Run ii
Crystalline Ho2Er2Ag at its relaxed geometry. Source: Alexandria, functional PBE.

Results
* volume: 30.1 A^3/atom
* D(E_F): 30.4 states/eV/cell

Unit cell a=4.9850 b=4.9850 c=24.2291 alpha=90.00 beta=90.00 gamma=90.00
Space group I4_1/amd (No. 141, origin choice 2)
One atom of each set of equivalent atoms:
Ho1 0.0000 0.2500 0.0501 (multiplicity 8)
Er1 0.0000 0.2500 0.1985 (multiplicity 8)
Ag1 0.0000 0.2500 0.8750 (multiplicity 4)

Relative to the most stable structure, the computed energies are run i 0.000; run ii 0.139, all in eV/atom.

Run i
Crystalline Ho2ErAg2 at its relaxed geometry. Source: Alexandria, functional PBE.

Results
* volume: 26.6 A^3/atom
* D(E_F): 21.3 states/eV/cell

Unit cell a=3.7114 b=14.5540 c=9.8326 alpha=90.00 beta=90.00 gamma=90.00
Space group Cmc2_1 (No. 36)
One atom of each set of equivalent atoms:
Ho1 0.0000 0.1094 0.0000 (multiplicity 4)
Ho2 0.0000 0.2954 0.2277 (multiplicity 4)
Er1 0.0000 0.4191 0.8401 (multiplicity 4)
Ag1 0.0000 0.0476 0.6788 (multiplicity 4)
Ag2 0.0000 0.2160 0.4979 (multiplicity 4)

Run ii
Crystalline Ho2ErAg2 at its relaxed geometry. Source: Alexandria, functional PBE.

Results
* volume: 25.1 A^3/atom
* D(E_F): 15.5 states/eV/cell

Unit cell a=3.6097 b=26.6982 c=5.2059 alpha=90.00 beta=90.00 gamma=90.00
Space group Cmcm (No. 63)
One atom of each set of equivalent atoms:
Ho1 0.0000 0.0475 0.2500 (multiplicity 4)
Ho2 0.0000 0.2344 0.2500 (multiplicity 4)
Er1 0.0000 0.1456 0.7500 (multiplicity 4)
Ag1 0.0000 0.3579 0.7500 (multiplicity 4)
Ag2 0.0000 0.4520 0.2500 (multiplicity 4)

Relative to the most stable structure, the computed energies are run i 0.115; run ii 0.000, all in eV/atom.

Run i
Crystalline HoEr2Ag2 at its relaxed geometry. Source: Alexandria, functional PBE.

Results
* volume: 25.3 A^3/atom
* D(E_F): 10.0 states/eV/cell

Unit cell a=6.3023 b=4.9883 c=8.1019 alpha=90.00 beta=95.99 gamma=90.00
Space group P2_1/m (No. 11)
One atom of each set of equivalent atoms:
Ho1 0.1869 0.2500 0.2468 (multiplicity 2)
Er1 0.3394 0.7500 0.9464 (multiplicity 2)
Er2 0.4014 0.2500 0.6432 (multiplicity 2)
Ag1 0.0704 0.2500 0.8857 (multiplicity 2)
Ag2 0.1358 0.7500 0.4810 (multiplicity 2)

Run ii
Crystalline HoEr2Ag2 at its relaxed geometry. Source: Alexandria, functional PBE.

Results
* volume: 25.0 A^3/atom
* D(E_F): 7.9 states/eV/cell

Unit cell a=3.6002 b=5.2081 c=13.4417 alpha=90.00 beta=97.69 gamma=90.00
Space group P2_1/m (No. 11)
One atom of each set of equivalent atoms:
Ho1 0.1460 0.2500 0.2914 (multiplicity 2)
Er1 0.0473 0.7500 0.0950 (multiplicity 2)
Er2 0.2347 0.7500 0.4687 (multiplicity 2)
Ag1 0.3578 0.2500 0.7159 (multiplicity 2)
Ag2 0.4526 0.7500 0.9057 (multiplicity 2)

Relative to the most stable structure, the computed energies are run i 0.086; run ii 0.000, all in eV/atom.

Run i
Crystalline HoErAgOs at its relaxed geometry. Source: Alexandria, functional PBE.

Results
* volume: 21.0 A^3/atom
* D(E_F): 6.8 states/eV/cell

Unit cell a=6.9521 b=6.9521 c=6.9521 alpha=90.00 beta=90.00 gamma=90.00
Space group F-43m (No. 216)
One atom of each set of equivalent atoms:
Ho1 0.0000 0.0000 0.0000 (multiplicity 4)
Er1 0.0000 0.0000 0.5000 (multiplicity 4)
Ag1 0.2500 0.2500 0.7500 (multiplicity 4)
Os1 0.2500 0.2500 0.2500 (multiplicity 4)

Run ii
Crystalline HoErAgOs at its relaxed geometry. Source: Alexandria, functional PBE.

Results
* volume: 21.7 A^3/atom
* D(E_F): 2.2 states/eV/cell

Unit cell a=3.3859 b=3.3859 c=7.5544 alpha=90.00 beta=90.00 gamma=90.00
Space group P4mm (No. 99)
One atom of each set of equivalent atoms:
Ho1 0.0000 0.0000 0.0000 (multiplicity 1)
Er1 0.0000 0.0000 0.5600 (multiplicity 1)
Ag1 0.5000 0.5000 0.2823 (multiplicity 1)
Os1 0.5000 0.5000 0.7789 (multiplicity 1)

Relative to the most stable structure, the computed energies are run i 0.043; run ii 0.000, all in eV/atom.

Run i
Crystalline PmHoErAg at its relaxed geometry. Source: Alexandria, functional PBE.

Results
* volume: 28.2 A^3/atom
* D(E_F): 4.9 states/eV/cell

Unit cell a=3.6011 b=3.6011 c=8.7052 alpha=90.00 beta=90.00 gamma=90.00
Space group P4mm (No. 99)
One atom of each set of equivalent atoms:
Pm1 0.0000 0.0000 0.0000 (multiplicity 1)
Ho1 0.5000 0.5000 0.7079 (multiplicity 1)
Er1 0.5000 0.5000 0.2912 (multiplicity 1)
Ag1 0.0000 0.0000 0.4973 (multiplicity 1)

Run ii
Crystalline PmHoErAg at its relaxed geometry. Source: Alexandria, functional PBE.

Results
* volume: 27.6 A^3/atom
* D(E_F): 23.4 states/eV/cell

Unit cell a=7.6178 b=7.6178 c=7.6178 alpha=90.00 beta=90.00 gamma=90.00
Space group F-43m (No. 216)
One atom of each set of equivalent atoms:
Pm1 0.0000 0.0000 0.0000 (multiplicity 4)
Ho1 0.2500 0.2500 0.2500 (multiplicity 4)
Er1 0.2500 0.2500 0.7500 (multiplicity 4)
Ag1 0.0000 0.0000 0.5000 (multiplicity 4)

Relative to the most stable structure, the computed energies are run i 0.000; run ii 0.238, all in eV/atom.

Run i
Crystalline HoErScAg at its relaxed geometry. Source: Alexandria, functional PBE.

Results
* volume: 25.3 A^3/atom
* D(E_F): 16.0 states/eV/cell

Unit cell a=7.4012 b=7.4012 c=7.4012 alpha=90.00 beta=90.00 gamma=90.00
Space group F-43m (No. 216)
One atom of each set of equivalent atoms:
Ho1 0.0000 0.0000 0.0000 (multiplicity 4)
Er1 0.0000 0.0000 0.5000 (multiplicity 4)
Sc1 0.2500 0.2500 0.7500 (multiplicity 4)
Ag1 0.2500 0.2500 0.2500 (multiplicity 4)

Run ii
Crystalline HoErScAg at its relaxed geometry. Source: Alexandria, functional PBE.

Results
* volume: 25.8 A^3/atom
* D(E_F): 5.8 states/eV/cell

Unit cell a=3.4892 b=3.4892 c=8.4724 alpha=90.00 beta=90.00 gamma=90.00
Space group P4mm (No. 99)
One atom of each set of equivalent atoms:
Ho1 0.0000 0.0000 0.0000 (multiplicity 1)
Er1 0.0000 0.0000 0.5435 (multiplicity 1)
Sc1 0.5000 0.5000 0.2725 (multiplicity 1)
Ag1 0.5000 0.5000 0.7694 (multiplicity 1)

Relative to the most stable structure, the computed energies are run i 0.146; run ii 0.000, all in eV/atom.

Run i
Crystalline SmHoErAg at its relaxed geometry. Source: Alexandria, functional PBE.

Results
* volume: 27.7 A^3/atom
* D(E_F): 14.7 states/eV/cell

Unit cell a=7.6207 b=7.6207 c=7.6207 alpha=90.00 beta=90.00 gamma=90.00
Space group F-43m (No. 216)
One atom of each set of equivalent atoms:
Sm1 0.0000 0.0000 0.0000 (multiplicity 4)
Ho1 0.0000 0.0000 0.5000 (multiplicity 4)
Er1 0.2500 0.2500 0.7500 (multiplicity 4)
Ag1 0.2500 0.2500 0.2500 (multiplicity 4)

Run ii
Crystalline SmHoErAg at its relaxed geometry. Source: Alexandria, functional PBE.

Results
* volume: 28.2 A^3/atom
* D(E_F): 5.1 states/eV/cell

Unit cell a=3.5755 b=3.5755 c=8.8112 alpha=90.00 beta=90.00 gamma=90.00
Space group P4mm (No. 99)
One atom of each set of equivalent atoms:
Sm1 0.0000 0.0000 0.0000 (multiplicity 1)
Ho1 0.5000 0.5000 0.7094 (multiplicity 1)
Er1 0.5000 0.5000 0.2895 (multiplicity 1)
Ag1 0.0000 0.0000 0.4971 (multiplicity 1)

Relative to the most stable structure, the computed energies are run i 0.194; run ii 0.000, all in eV/atom.

Run i
Crystalline TbHoErAg at its relaxed geometry. Source: Alexandria, functional PBE.

Results
* volume: 27.8 A^3/atom
* D(E_F): 4.8 states/eV/cell

Unit cell a=3.5439 b=3.5439 c=8.8410 alpha=90.00 beta=90.00 gamma=90.00
Space group P4mm (No. 99)
One atom of each set of equivalent atoms:
Tb1 0.0000 0.0000 0.0000 (multiplicity 1)
Ho1 0.5000 0.5000 0.7133 (multiplicity 1)
Er1 0.5000 0.5000 0.2856 (multiplicity 1)
Ag1 0.0000 0.0000 0.4971 (multiplicity 1)

Run ii
Crystalline TbHoErAg at its relaxed geometry. Source: Alexandria, functional PBE.

Results
* volume: 27.2 A^3/atom
* D(E_F): 14.6 states/eV/cell

Unit cell a=7.5742 b=7.5742 c=7.5742 alpha=90.00 beta=90.00 gamma=90.00
Space group F-43m (No. 216)
One atom of each set of equivalent atoms:
Tb1 0.0000 0.0000 0.0000 (multiplicity 4)
Ho1 0.0000 0.0000 0.5000 (multiplicity 4)
Er1 0.2500 0.2500 0.2500 (multiplicity 4)
Ag1 0.2500 0.2500 0.7500 (multiplicity 4)

Relative to the most stable structure, the computed energies are run i 0.000; run ii 0.192, all in eV/atom.

Run i
Crystalline Er3InAg at its relaxed geometry. Source: Alexandria, functional PBE.

Results
* volume: 27.0 A^3/atom
* D(E_F): 38.9 states/eV/cell

Unit cell a=11.7501 b=6.3530 c=14.5409 alpha=90.00 beta=96.44 gamma=90.00
Space group C2/c (No. 15)
One atom of each set of equivalent atoms:
Er1 0.0644 0.1186 0.1065 (multiplicity 8)
Er2 0.1677 0.1784 0.7952 (multiplicity 8)
Er3 0.1911 0.3395 0.4008 (multiplicity 8)
In1 0.0565 0.3715 0.5881 (multiplicity 8)
Ag1 0.0000 0.4078 0.2500 (multiplicity 4)
Ag2 0.2500 0.2500 0.0000 (multiplicity 4)

Run ii
Crystalline Er3InAg at its relaxed geometry. Source: Alexandria, functional PBE.

Results
* volume: 26.4 A^3/atom
* D(E_F): 20.9 states/eV/cell

Unit cell a=5.0677 b=20.5393 c=5.0674 alpha=90.00 beta=90.00 gamma=90.00
Space group Cmcm (No. 63)
One atom of each set of equivalent atoms:
Er1 0.0000 0.0605 0.2500 (multiplicity 4)
Er2 0.0000 0.2497 0.2500 (multiplicity 4)
Er3 0.0000 0.4383 0.2500 (multiplicity 4)
In1 0.0000 0.1564 0.7500 (multiplicity 4)
Ag1 0.0000 0.3409 0.7500 (multiplicity 4)

Relative to the most stable structure, the computed energies are run i 0.132; run ii 0.000, all in eV/atom.